[1]
Crystalline Zr2TaTl at its relaxed geometry, computed with GGA-PBE.

Output
Density of states at the Fermi level (states/eV/atom): 0.94
Calculated formation energy (kJ/mol of atoms): 4.5
Space group: No. 123
Magnetization (μB/f.u.): 0.0
Volume (Å³ per atom): 22.5

```
Zr2TaTl
1.0
3.152 0.000 0.000
0.000 3.152 0.000
0.000 0.000 9.057
Zr Ta Tl
2 1 1
Direct
0.000 0.000 0.227 Zr
0.000 0.000 0.773 Zr
0.500 0.500 0.000 Ta
0.500 0.500 0.500 Tl
```

---

[2]
Crystalline TlAg2GeO4 at its relaxed geometry, computed with GGA-PBE.

Output
Raw formation energy (eV per formula unit): -6.04
Density of states at the Fermi level (states/eV/atom): 0.34
Space group: No. 82
Magnetization (μB/f.u.): 0.0
Volume (Å³ per atom): 16.5

```
TlAg2GeO4
1.0
-2.610 2.610 4.856
2.610 -2.610 4.856
2.610 2.610 -4.856
Tl Ag Ge O
1 2 1 4
Direct
0.000 0.000 0.000 Tl
0.250 0.750 0.500 Ag
0.500 0.500 0.000 Ag
0.750 0.250 0.500 Ge
0.050 0.148 0.489 O
0.439 0.950 0.098 O
0.659 0.561 0.511 O
0.852 0.341 0.902 O
```

---

[3]
Crystalline ZrMo2Cl at its relaxed geometry, computed with GGA-PBE.

Output
Raw formation energy (eV per formula unit): 1.45
Density of states at the Fermi level (states/eV/atom): 0.96
Space group: No. 65
Magnetization (μB/f.u.): 0.0
Volume (Å³ per atom): 17.8

```
ZrMo2Cl
1.0
1.613 -2.477 0.000
1.613 2.477 0.000
0.000 0.000 8.898
Zr Mo Cl
1 2 1
Direct
0.000 0.000 0.000 Zr
0.500 0.500 0.257 Mo
0.500 0.500 0.743 Mo
0.000 0.000 0.500 Cl
```

---

[4]
Crystalline Ti2TcIr2 at its relaxed geometry, computed with GGA-PBE.

Output
Density of states at the Fermi level (states/eV/atom): 0.67
Calculated formation energy (kJ/mol of atoms): -40.0
Space group: No. 127
Magnetization (μB/f.u.): 0.0
Volume (Å³ per atom): 15.5

```
Ti2TcIr2
1.0
7.357 0.000 0.000
0.000 7.357 0.000
0.000 0.000 2.861
Ti Tc Ir
4 2 4
Direct
0.155 0.345 0.000 Ti
0.345 0.845 0.000 Ti
0.655 0.155 0.000 Ti
0.845 0.655 0.000 Ti
0.000 0.000 0.000 Tc
0.500 0.500 0.000 Tc
0.146 0.646 0.500 Ir
0.354 0.146 0.500 Ir
0.646 0.854 0.500 Ir
0.854 0.354 0.500 Ir
```

---

[5]
Crystalline NdAl6Cu12 at its relaxed geometry, computed with GGA-PBE.

Output
Density of states at the Fermi level (states/eV/atom): 0.17
Calculated formation energy (kJ/mol of atoms): -10.1
Space group: No. 166
Magnetization (μB/f.u.): 0.0
Volume (Å³ per atom): 15.0

```
NdAl6Cu12
1.0
5.388 3.111 2.834
-5.388 3.111 2.834
0.000 -6.221 2.834
Nd Al Cu
1 6 12
Direct
0.000 0.000 0.000 Nd
0.282 0.282 0.702 Al
0.282 0.702 0.282 Al
0.298 0.718 0.718 Al
0.702 0.282 0.282 Al
0.718 0.298 0.718 Al
0.718 0.718 0.298 Al
0.112 0.500 0.888 Cu
0.112 0.888 0.500 Cu
0.125 0.382 0.382 Cu
0.382 0.125 0.382 Cu
0.382 0.382 0.125 Cu
0.500 0.112 0.888 Cu
0.500 0.888 0.112 Cu
0.618 0.618 0.875 Cu
0.618 0.875 0.618 Cu
0.875 0.618 0.618 Cu
0.888 0.112 0.500 Cu
0.888 0.500 0.112 Cu
```

---

[6]
Crystalline NdTm2ScTe4 at its relaxed geometry, computed with GGA-PBE.

Output
Raw formation energy (eV per formula unit): -9.60
Density of states at the Fermi level (states/eV/atom): 0.66
Space group: No. 10
Magnetization (μB/f.u.): 0.0
Volume (Å³ per atom): 28.7

```
NdTm2ScTe4
1.0
7.511 0.000 0.000
0.000 4.266 0.000
-2.424 0.000 7.155
Nd Tm Sc Te
1 2 1 4
Direct
0.000 0.000 0.000 Nd
0.500 0.000 0.500 Tm
0.500 0.500 0.000 Tm
0.000 0.500 0.500 Sc
0.250 0.000 0.739 Te
0.258 0.500 0.264 Te
0.742 0.500 0.736 Te
0.750 0.000 0.261 Te
```

---

[7]
Crystalline Li2TlTc at its relaxed geometry, computed with GGA-PBE.

Output
Density of states at the Fermi level (states/eV/atom): 0.36
Calculated formation energy (kJ/mol of atoms): 33.2
Space group: No. 139
Magnetization (μB/f.u.): 0.0
Volume (Å³ per atom): 16.6

```
Li2TlTc
1.0
-1.965 1.965 4.307
1.965 -1.965 4.307
1.965 1.965 -4.307
Li Tl Tc
2 1 1
Direct
0.250 0.750 0.500 Li
0.750 0.250 0.500 Li
0.000 0.000 0.000 Tl
0.500 0.500 0.000 Tc
```

---

[8]
Crystalline BaNiSb2 at its relaxed geometry, computed with GGA-PBE.

Output
Raw formation energy (eV per formula unit): -0.60
Density of states at the Fermi level (states/eV/atom): 0.86
Space group: No. 99
Magnetization (μB/f.u.): 0.0
Volume (Å³ per atom): 27.0

```
BaNiSb2
1.0
3.757 0.000 0.000
0.000 3.757 0.000
0.000 0.000 7.667
Ba Ni Sb
1 1 2
Direct
0.000 0.000 0.000 Ba
0.500 0.500 0.358 Ni
0.000 0.000 0.440 Sb
0.500 0.500 0.692 Sb
```

---

[9]
Crystalline AcPuGaRh at its relaxed geometry, computed with GGA-PBE.

Output
Density of states at the Fermi level (states/eV/atom): 2.69
Calculated formation energy (kJ/mol of atoms): -28.4
Space group: No. 216
Magnetization (μB/f.u.): 5.4
Volume (Å³ per atom): 24.7

```
AcPuGaRh
1.0
0.000 3.669 3.669
3.669 0.000 3.669
3.669 3.669 0.000
Ac Pu Ga Rh
1 1 1 1
Direct
0.000 0.000 0.000 Ac
0.500 0.500 0.500 Pu
0.250 0.250 0.250 Ga
0.750 0.750 0.750 Rh
```

---

[10]
Crystalline CsSmSnS3 at its relaxed geometry, computed with GGA-PBE.

Output
Raw formation energy (eV per formula unit): -8.24
Space group: No. 11
Magnetization (μB/f.u.): 0.0
Volume (Å³ per atom): 34.0

```
CsSmSnS3
1.0
8.895 0.000 0.000
0.000 4.134 0.000
-3.908 0.000 11.087
Cs Sm Sn S
2 2 2 6
Direct
0.225 0.250 0.258 Cs
0.775 0.750 0.742 Cs
0.363 0.750 0.855 Sm
0.637 0.250 0.145 Sm
0.152 0.250 0.571 Sn
0.848 0.750 0.429 Sn
0.126 0.250 0.781 S
0.349 0.750 0.608 S
0.412 0.750 0.099 S
0.588 0.250 0.901 S
0.651 0.250 0.392 S
0.874 0.750 0.219 S
```

---

[11]
Crystalline Zn2OsRu at its relaxed geometry, computed with GGA-PBE.

Output
Density of states at the Fermi level (states/eV/atom): 0.93
Calculated formation energy (kJ/mol of atoms): 15.6
Space group: No. 12
Magnetization (μB/f.u.): 0.0
Volume (Å³ per atom): 14.1

```
Zn2OsRu
1.0
4.367 -1.362 0.000
4.367 1.362 0.000
-0.840 0.000 4.748
Zn Os Ru
2 1 1
Direct
0.250 0.250 0.248 Zn
0.750 0.750 0.752 Zn
0.000 0.000 0.500 Os
0.500 0.500 0.000 Ru
```

---

[12]
Crystalline LaFe2Pb at its relaxed geometry, computed with GGA-PBE.

Output
Density of states at the Fermi level (states/eV/atom): 0.85
Calculated formation energy (kJ/mol of atoms): 23.0
Space group: No. 44
Magnetization (μB/f.u.): 4.5
Volume (Å³ per atom): 22.3

```
LaFe2Pb
1.0
-1.802 2.195 5.636
1.802 -2.195 5.636
1.802 2.195 -5.636
La Fe Pb
1 2 1
Direct
0.000 0.000 0.000 La
0.283 0.783 0.500 Fe
0.413 0.413 0.000 Fe
0.733 0.233 0.500 Pb
```

---

[13]
Crystalline InSn5Br11 at its relaxed geometry, computed with GGA-PBE.

Output
Raw formation energy (eV per formula unit): -12.10
Density of states at the Fermi level (states/eV/atom): 0.00
Space group: No. 12
Magnetization (μB/f.u.): 0.0
Volume (Å³ per atom): 40.5

```
InSn5Br11
1.0
4.686 -7.961 0.000
4.686 7.961 0.000
-2.501 0.000 9.219
In Sn Br
1 5 11
Direct
0.000 0.000 0.000 In
0.066 0.357 0.651 Sn
0.357 0.066 0.651 Sn
0.500 0.500 0.000 Sn
0.643 0.934 0.349 Sn
0.934 0.643 0.349 Sn
0.000 0.000 0.500 Br
0.129 0.701 0.675 Br
0.130 0.389 0.958 Br
0.299 0.871 0.325 Br
0.389 0.130 0.958 Br
0.430 0.430 0.673 Br
0.570 0.570 0.327 Br
0.611 0.870 0.042 Br
0.701 0.129 0.675 Br
0.870 0.611 0.042 Br
0.871 0.299 0.325 Br
```

---

[14]
Crystalline Er3AlNi9B2 at its relaxed geometry, computed with GGA-PBE.

Output
Density of states at the Fermi level (states/eV/atom): 0.27
Calculated formation energy (kJ/mol of atoms): -42.6
Space group: No. 164
Magnetization (μB/f.u.): 0.0
Volume (Å³ per atom): 13.9

```
Er3AlNi9B2
1.0
5.363 0.000 0.000
-2.681 4.644 0.000
0.000 0.000 8.397
Er Al Ni B
3 1 9 2
Direct
0.000 0.000 0.000 Er
0.333 0.667 0.631 Er
0.667 0.333 0.369 Er
0.000 0.000 0.500 Al
0.000 0.500 0.000 Ni
0.165 0.330 0.279 Ni
0.165 0.835 0.279 Ni
0.330 0.165 0.721 Ni
0.500 0.000 0.000 Ni
0.500 0.500 0.000 Ni
0.670 0.835 0.279 Ni
0.835 0.165 0.721 Ni
0.835 0.670 0.721 Ni
0.333 0.667 0.144 B
0.667 0.333 0.856 B
```

---

[15]
Crystalline Ca2SnS4 at its relaxed geometry, computed with GGA-PBE.

Output
Raw formation energy (eV per formula unit): -9.05
Density of states at the Fermi level (states/eV/atom): 0.00
Space group: No. 14
Magnetization (μB/f.u.): 0.0
Volume (Å³ per atom): 26.9

```
Ca2SnS4
1.0
6.844 0.000 0.000
0.000 7.400 0.000
-4.439 0.000 14.891
Ca Sn S
8 4 16
Direct
0.193 0.249 0.020 Ca
0.193 0.251 0.520 Ca
0.282 0.127 0.284 Ca
0.282 0.373 0.784 Ca
0.718 0.627 0.216 Ca
0.718 0.873 0.716 Ca
0.807 0.749 0.480 Ca
0.807 0.751 0.980 Ca
0.264 0.725 0.411 Sn
0.264 0.775 0.911 Sn
0.736 0.225 0.089 Sn
0.736 0.275 0.589 Sn
0.002 0.006 0.876 S
0.002 0.494 0.376 S
0.034 0.517 0.885 S
0.034 0.983 0.385 S
0.480 0.701 0.562 S
0.480 0.799 0.062 S
0.484 0.706 0.818 S
0.484 0.794 0.318 S
0.516 0.206 0.682 S
0.516 0.294 0.182 S
0.520 0.201 0.938 S
0.520 0.299 0.438 S
0.966 0.017 0.615 S
0.966 0.483 0.115 S
0.998 0.506 0.624 S
0.998 0.994 0.124 S
```

---

[16]
Crystalline ReSb2Pt at its relaxed geometry, computed with GGA-PBE.

Output
Raw formation energy (eV per formula unit): 1.56
Density of states at the Fermi level (states/eV/atom): 0.72
Space group: No. 123
Magnetization (μB/f.u.): 0.0
Volume (Å³ per atom): 18.7

```
ReSb2Pt
1.0
4.668 0.000 0.000
0.000 4.668 0.000
0.000 0.000 3.435
Re Sb Pt
1 2 1
Direct
0.000 0.000 0.000 Re
0.000 0.500 0.500 Sb
0.500 0.000 0.500 Sb
0.500 0.500 0.000 Pt
```

---

[17]
Crystalline CsSrPrBr6 at its relaxed geometry, computed with GGA-PBE.

Output
Raw formation energy (eV per formula unit): -17.76
Density of states at the Fermi level (states/eV/atom): 0.00
Space group: No. 163
Magnetization (μB/f.u.): 0.0
Volume (Å³ per atom): 46.7

```
CsSrPrBr6
1.0
7.911 0.000 0.000
-3.956 6.852 0.000
0.000 0.000 15.519
Cs Sr Pr Br
2 2 2 12
Direct
0.000 0.000 0.000 Cs
0.000 0.000 0.500 Cs
0.333 0.667 0.250 Sr
0.667 0.333 0.750 Sr
0.333 0.667 0.750 Pr
0.667 0.333 0.250 Pr
0.013 0.385 0.640 Br
0.013 0.628 0.860 Br
0.372 0.385 0.860 Br
0.372 0.987 0.640 Br
0.385 0.013 0.140 Br
0.385 0.372 0.360 Br
0.615 0.628 0.640 Br
0.615 0.987 0.860 Br
0.628 0.013 0.360 Br
0.628 0.615 0.140 Br
0.987 0.372 0.140 Br
0.987 0.615 0.360 Br
```

---

[18]
Crystalline MnCdRu at its relaxed geometry, computed with GGA-PBE.

Output
Density of states at the Fermi level (states/eV/atom): 0.80
Calculated formation energy (kJ/mol of atoms): 26.1
Space group: No. 156
Magnetization (μB/f.u.): 2.6
Volume (Å³ per atom): 15.8

```
MnCdRu
1.0
2.857 0.000 0.000
-1.428 2.474 0.000
0.000 0.000 6.726
Mn Cd Ru
1 1 1
Direct
0.000 0.000 0.000 Mn
0.333 0.667 0.643 Cd
0.667 0.333 0.278 Ru
```

---

[19]
Crystalline K2LiSb at its relaxed geometry, computed with GGA-PBE.

Output
Raw formation energy (eV per formula unit): -0.68
Density of states at the Fermi level (states/eV/atom): 0.33
Space group: No. 123
Magnetization (μB/f.u.): 0.0
Volume (Å³ per atom): 33.9

```
K2LiSb
1.0
5.019 0.000 0.000
0.000 5.019 0.000
0.000 0.000 5.382
K Li Sb
2 1 1
Direct
0.000 0.500 0.000 K
0.500 0.000 0.000 K
0.000 0.000 0.500 Li
0.500 0.500 0.500 Sb
```

---

[20]
Crystalline CsBePdF2 at its relaxed geometry, computed with GGA-PBE.

Output
Raw formation energy (eV per formula unit): -5.71
Density of states at the Fermi level (states/eV/atom): 0.24
Space group: No. 123
Magnetization (μB/f.u.): 0.0
Volume (Å³ per atom): 16.0

```
CsBePdF2
1.0
4.048 0.000 0.000
0.000 4.048 0.000
0.000 0.000 4.892
Cs Be Pd F
1 1 1 2
Direct
0.000 0.000 0.000 Cs
0.500 0.500 0.500 Be
0.500 0.500 0.000 Pd
0.000 0.500 0.500 F
0.500 0.000 0.500 F
```